(1)
DFT (PBE-GGA) results for a relaxed structure of LaScCd6.

a = 4.8844 Å, b = 7.2672 Å, c = 10.9189 Å
α = 90.00°, β = 90.00°, γ = 90.00°
Element x y z (fractional)
La  0.0000  0.0000  0.0000
La  0.0000  0.5000  0.5000
Sc  0.5000  0.0000  0.7293
Sc  0.5000  0.5000  0.2293
Cd  0.0000  0.0000  0.5495
Cd  0.0000  0.2195  0.2694
Cd  0.0000  0.2805  0.7694
Cd  0.0000  0.5000  0.0495
Cd  0.0000  0.7195  0.7694
Cd  0.0000  0.7805  0.2694
Cd  0.5000  0.0000  0.1993
Cd  0.5000  0.2100  0.4592
Cd  0.5000  0.2900  0.9592
Cd  0.5000  0.5000  0.6993
Cd  0.5000  0.7100  0.9592
Cd  0.5000  0.7900  0.4592

Energy of formation ... -1.84 eV per formula unit
E above lowest polymorph ... 15.2 meV/atom

(2)
DFT (PBE-GGA) results for a relaxed structure of La2ScCd.

a = 3.7656 Å, b = 5.6217 Å, c = 11.3833 Å
α = 90.00°, β = 90.00°, γ = 90.00°
Element x y z (fractional)
La  0.0000  0.0000  0.0000
La  0.0000  0.5000  0.2245
La  0.5000  0.0000  0.7245
La  0.5000  0.5000  0.5000
Sc  0.0000  0.0000  0.4540
Sc  0.5000  0.5000  0.9540
Cd  0.0000  0.5000  0.7495
Cd  0.5000  0.0000  0.2495

Energy of formation ... -0.53 eV per formula unit

(3)
DFT (PBE-GGA) results for a relaxed structure of La2ScCd.

a = 11.6338 Å, b = 3.6168 Å, c = 5.7949 Å
α = 90.00°, β = 103.36°, γ = 90.00°
Element x y z (fractional)
La  0.2436  0.0000  0.2353
La  0.2564  0.5000  0.7647
La  0.7436  0.5000  0.2353
La  0.7564  0.0000  0.7647
Sc  0.0000  0.0000  0.5000
Sc  0.5000  0.5000  0.5000
Cd  0.0000  0.5000  0.0000
Cd  0.5000  0.0000  0.0000

Energy of formation ... -0.05 eV per formula unit

(4)
DFT (PBE-GGA) results for a relaxed structure of LaSc2Cd6.

a = 8.6309 Å, b = 8.6309 Å, c = 3.3031 Å
α = 90.00°, β = 90.00°, γ = 120.00°
Element x y z (fractional)
La  0.0000  0.0000  0.0000
Sc  0.3333  0.6667  0.0000
Sc  0.6667  0.3333  0.0000
Cd  0.0000  0.3402  0.5000
Cd  0.0000  0.6598  0.5000
Cd  0.3402  0.0000  0.5000
Cd  0.3402  0.3402  0.5000
Cd  0.6598  0.0000  0.5000
Cd  0.6598  0.6598  0.5000

Energy of formation ... -2.24 eV per formula unit

no.,raw total energy (Ry/atom)
1,-0.1708
2,-0.3239
3,-0.3151
4,-0.2068